1.
DFT (PBE) results for a relaxed LiZn3Pd12 crystal.

Cell and atoms, written as extended XYZ:
```
16
Lattice="3.9169 0.0000 0.0000 0.0000 3.9169 0.0000 0.0000 0.0000 15.5671" Properties=species:S:1:pos:R:3 pbc="T T T"
Li 0.0000 0.0000 0.0000
Zn 0.0000 0.0000 3.8860
Zn 0.0000 0.0000 7.7836
Zn 0.0000 0.0000 11.6812
Pd 0.0000 1.9584 1.9327
Pd 0.0000 1.9584 5.8270
Pd 0.0000 1.9584 9.7402
Pd 0.0000 1.9584 13.6344
Pd 1.9584 0.0000 1.9327
Pd 1.9584 0.0000 5.8270
Pd 1.9584 0.0000 9.7402
Pd 1.9584 0.0000 13.6344
Pd 1.9584 1.9584 0.0000
Pd 1.9584 1.9584 3.8633
Pd 1.9584 1.9584 7.7836
Pd 1.9584 1.9584 11.7038
```

## Properties
Calculated volume   238.83 Å³/cell
Magnetization   0.000 μB per atom
Space-group type   No. 123
E_tot   -4.534 eV per atom


2.
DFT (PBE) results for a relaxed CrCuTcSn2 crystal.

Cell and atoms, written as extended XYZ:
```
5
Lattice="4.8758 0.0000 0.0000 0.0000 4.8758 0.0000 0.0000 0.0000 4.6587" Properties=species:S:1:pos:R:3 pbc="T T T"
Cr 0.0000 0.0000 0.0000
Cu 0.0000 0.0000 2.3293
Tc 2.4379 2.4379 0.0000
Sn 0.0000 2.4379 2.3293
Sn 2.4379 0.0000 2.3293
```

## Properties
Calculated volume   110.75 Å³/cell
Magnetization   1.413 μB per atom
Space-group type   No. 123
E_tot   -5.270 eV per atom


3.
DFT (PBE) results for a relaxed Pm2Nd3Y6In crystal.

Cell and atoms, written as extended XYZ:
```
12
Lattice="3.0920 -5.3571 0.0000 3.0920 5.3571 0.0000 -2.0676 0.0000 11.6399" Properties=species:S:1:pos:R:3 pbc="T T T"
Pm 3.0920 3.5751 0.0000
Pm 3.0920 -3.5751 0.0000
Nd -1.0338 0.0000 5.8199
Nd 2.0583 1.7891 5.8199
Nd 2.0583 -1.7891 5.8199
Y 0.0204 1.7483 8.7896
Y 1.0693 0.0000 2.8582
Y 0.0204 -1.7483 8.7896
Y 4.0962 1.7483 2.8502
Y 3.0472 0.0000 8.7817
Y 4.0962 -1.7483 2.8502
In 3.0920 0.0000 0.0000
```

## Properties
Calculated volume   385.61 Å³/cell
Magnetization   0.000 μB per atom
Space-group type   No. 12
E_tot   -5.500 eV per atom


4.
DFT (PBE) results for a relaxed Ho2CoOs crystal.

Cell and atoms, written as extended XYZ:
```
4
Lattice="3.3736 0.0000 0.0000 0.0000 3.3736 0.0000 0.0000 0.0000 6.6681" Properties=species:S:1:pos:R:3 pbc="T T T"
Ho 0.0000 0.0000 1.6565
Ho 0.0000 0.0000 5.0115
Co 1.6868 1.6868 0.0000
Os 1.6868 1.6868 3.3340
```

## Properties
Calculated volume   75.89 Å³/cell
Magnetization   0.080 μB per atom
Space-group type   No. 123
E_tot   -7.018 eV per atom